# SrMo

An optimized crystal structure of SrMo (PBE, Alexandria).

The space group is P4/m (No. 83) and the conventional cell measures 12.347, 12.347 and 3.444 Å, with angles of 90.00, 90.00 and 90.00 degrees. The inequivalent atoms are Sr at (0.056, 0.268, 0.000), Sr at (0.311, 0.418, 0.500), Mo at (0.091, 0.549, 0.500) and Mo at (0.189, 0.644, 0.000).

The calculation puts the formation energy at 0.8417 eV/atom. The calculation puts the spin magnetization at 0.00 μB/cell. For the density, the calculation gives 4.64 g cm⁻³.